Entry 1:
Density functional theory data (PBE) for a geometry-optimized BeCu2Sb structure.

a b c (Å): 4.733 4.733 4.733
angles (deg): 131.82 131.82 70.51
Atoms (fractional coordinates):
1 Cu 0.000 0.000 0.000
2 Cu 0.250 0.750 0.500
3 Be 0.750 0.250 0.500
4 Sb 0.500 0.500 0.000

Output
density	7.42	g/cm³
final energy	-15.0	eV for the cell shown
energy above the most stable polymorph in this dataset	69	meV/atom
DOS(E_F)	1.158	states/eV/f.u.
ΔE_f (raw)	0.267	eV per atom

***

Entry 2:
Density functional theory data (PBE) for a geometry-optimized BeCu2Sb structure.

a b c (Å): 3.005 3.005 6.614
angles (deg): 90.00 90.00 90.00
Atoms (fractional coordinates):
1 Be 0.500 0.500 0.750
2 Sb 0.500 0.500 0.250
3 Cu 0.000 0.000 0.569
4 Cu 0.000 0.000 0.931

Output
density	7.17	g/cm³
final energy	-15.1	eV for the cell shown
energy above the most stable polymorph in this dataset	41	meV/atom
DOS(E_F)	1.288	states/eV/f.u.
ΔE_f (raw)	0.238	eV per atom

***

Entry 3:
Density functional theory data (PBE) for a geometry-optimized Be2CuSb structure.

a b c (Å): 5.117 5.117 3.578
angles (deg): 65.37 65.37 108.23
Atoms (fractional coordinates):
1 Cu 0.500 0.000 0.500
2 Sb 0.000 0.500 0.500
3 Be 0.500 0.500 0.000
4 Be 0.000 0.000 0.000

Output
density	5.40	g/cm³
final energy	-13.5	eV for the cell shown
DOS(E_F)	0.737	states/eV/f.u.
ΔE_f (raw)	0.546	eV per atom

***

Entry 4:
Density functional theory data (PBE) for a geometry-optimized BeCu2Sb structure.

a b c (Å): 4.039 3.155 5.195
angles (deg): 107.64 90.00 90.00
Atoms (fractional coordinates):
1 Sb 0.000 0.567 0.507
2 Be 0.500 0.713 0.803
3 Cu 0.000 0.839 0.053
4 Cu 0.500 0.381 0.137

Output
density	6.79	g/cm³
final energy	-15.2	eV for the cell shown
energy above the most stable polymorph in this dataset	15	meV/atom
DOS(E_F)	1.106	states/eV/f.u.
ΔE_f (raw)	0.213	eV per atom

***

Entry 5:
Density functional theory data (PBE) for a geometry-optimized BeCuSb2 structure.

a b c (Å): 6.042 6.042 6.042
angles (deg): 143.31 143.31 52.85
Atoms (fractional coordinates):
1 Cu 0.750 0.250 0.500
2 Sb 0.250 0.750 0.500
3 Sb 0.000 0.000 0.000
4 Be 0.500 0.500 0.000

Output
density	6.71	g/cm³
final energy	-14.1	eV for the cell shown
DOS(E_F)	2.171	states/eV/f.u.
ΔE_f (raw)	0.482	eV per atom

***

Entry 6:
Density functional theory data (PBE) for a geometry-optimized BeCuSb structure.

a b c (Å): 7.144 4.135 6.624
angles (deg): 90.00 90.00 90.00
Atoms (fractional coordinates):
1 Cu 0.078 0.750 0.571
2 Cu 0.578 0.750 0.929
3 Cu 0.922 0.250 0.429
4 Cu 0.422 0.250 0.071
5 Sb 0.691 0.750 0.549
6 Sb 0.809 0.250 0.049
7 Sb 0.309 0.250 0.451
8 Sb 0.191 0.750 0.951
9 Be 0.958 0.750 0.240
10 Be 0.042 0.250 0.760
11 Be 0.458 0.750 0.260
12 Be 0.542 0.250 0.740

Output
density	6.60	g/cm³
final energy	-45.6	eV for the cell shown
DOS(E_F)	0.312	states/eV/f.u.
ΔE_f (raw)	0.180	eV per atom

***

Entry 7:
Density functional theory data (PBE) for a geometry-optimized BeCuSb structure.

a b c (Å): 4.168 7.194 4.061
angles (deg): 90.00 119.16 87.50
Atoms (fractional coordinates):
1 Cu 0.974 0.628 0.170
2 Cu 0.158 0.420 0.762
3 Sb 0.813 0.269 0.090
4 Sb 0.599 0.820 0.483
5 Be 0.923 0.934 0.145
6 Be 0.525 0.456 0.446

Output
density	6.08	g/cm³
final energy	-23.2	eV for the cell shown
DOS(E_F)	0.408	states/eV/f.u.
ΔE_f (raw)	0.118	eV per atom

***

Entry 8:
Density functional theory data (PBE) for a geometry-optimized Be4CuSb structure.

a b c (Å): 4.649 4.649 4.649
angles (deg): 60.00 60.00 60.00
Atoms (fractional coordinates):
1 Cu 0.750 0.750 0.750
2 Be 0.869 0.377 0.377
3 Be 0.377 0.869 0.377
4 Be 0.377 0.377 0.869
5 Be 0.377 0.377 0.377
6 Sb 0.000 0.000 0.000

Output
density	5.17	g/cm³
final energy	-21.0	eV for the cell shown
DOS(E_F)	1.945	states/eV/f.u.
ΔE_f (raw)	0.355	eV per atom

***

Entry 9:
Density functional theory data (PBE) for a geometry-optimized BeCuSb2 structure.

a b c (Å): 4.588 4.588 4.539
angles (deg): 70.93 70.93 96.75
Atoms (fractional coordinates):
1 Cu 0.000 0.500 0.500
2 Be 0.500 0.000 0.500
3 Sb 0.000 0.000 0.000
4 Sb 0.500 0.500 0.000

Output
density	6.35	g/cm³
final energy	-14.4	eV for the cell shown
DOS(E_F)	1.238	states/eV/f.u.
ΔE_f (raw)	0.424	eV per atom

***

Entry 10:
Density functional theory data (PBE) for a geometry-optimized BeCu2Sb structure.

a b c (Å): 4.383 4.383 4.383
angles (deg): 60.00 60.00 60.00
Atoms (fractional coordinates):
1 Cu 0.000 0.000 0.000
2 Cu 0.750 0.750 0.750
3 Be 0.500 0.500 0.500
4 Sb 0.250 0.250 0.250

Output
density	7.19	g/cm³
final energy	-14.4	eV for the cell shown
energy above the most stable polymorph in this dataset	201	meV/atom
DOS(E_F)	1.650	states/eV/f.u.
ΔE_f (raw)	0.399	eV per atom

***

Entry 11:
Density functional theory data (PBE) for a geometry-optimized BeCuSb2 structure.

a b c (Å): 4.205 4.528 4.527
angles (deg): 69.07 90.00 90.00
Atoms (fractional coordinates):
1 Sb 0.000 0.907 0.907
2 Sb 0.500 0.345 0.345
3 Cu 0.500 0.697 0.696
4 Be 0.000 0.552 0.552

Output
density	6.52	g/cm³
final energy	-15.6	eV for the cell shown
DOS(E_F)	1.039	states/eV/f.u.
ΔE_f (raw)	0.126	eV per atom

***

Entry 12:
Density functional theory data (PBE) for a geometry-optimized BeCuSb2 structure.

a b c (Å): 4.945 4.945 3.122
angles (deg): 90.00 90.00 96.29
Atoms (fractional coordinates):
1 Sb 0.000 0.000 0.000
2 Sb 0.500 0.500 0.000
3 Be 0.500 0.000 0.500
4 Cu 0.000 0.500 0.500

Output
density	6.92	g/cm³
final energy	-14.0	eV for the cell shown
DOS(E_F)	1.456	states/eV/f.u.
ΔE_f (raw)	0.505	eV per atom

***

Entry 13:
Density functional theory data (PBE) for a geometry-optimized BeCu2Sb structure.

a b c (Å): 4.813 4.813 4.813
angles (deg): 133.54 133.51 67.83
Atoms (fractional coordinates):
1 Cu 0.500 0.500 0.000
2 Cu 0.000 0.000 0.000
3 Sb 0.250 0.750 0.500
4 Be 0.750 0.250 0.500

Output
density	7.43	g/cm³
final energy	-15.0	eV for the cell shown
energy above the most stable polymorph in this dataset	60	meV/atom
DOS(E_F)	0.650	states/eV/f.u.
ΔE_f (raw)	0.257	eV per atom

***

Entry 14:
Density functional theory data (PBE) for a geometry-optimized BeCuSb structure.

a b c (Å): 3.805 8.719 3.803
angles (deg): 102.81 120.02 90.04
Atoms (fractional coordinates):
1 Be 0.767 0.559 0.552
2 Be 0.490 0.724 0.997
3 Cu 0.116 0.605 0.250
4 Cu 0.398 0.455 0.814
5 Sb 0.005 0.279 0.028
6 Sb 0.218 0.906 0.454

Output
density	6.11	g/cm³
final energy	-23.3	eV for the cell shown
DOS(E_F)	0.916	states/eV/f.u.
ΔE_f (raw)	0.097	eV per atom

***

Entry 15:
Density functional theory data (PBE) for a geometry-optimized BeCuSb2 structure.

a b c (Å): 6.480 6.480 6.480
angles (deg): 147.04 147.44 47.01
Atoms (fractional coordinates):
1 Cu 0.676 0.176 0.500
2 Sb 0.993 0.993 0.000
3 Sb 0.265 0.765 0.500
4 Be 0.566 0.566 0.000

Output
density	6.61	g/cm³
final energy	-14.9	eV for the cell shown
DOS(E_F)	1.431	states/eV/f.u.
ΔE_f (raw)	0.297	eV per atom

***

Entry 16:
Density functional theory data (PBE) for a geometry-optimized BeCu2Sb structure.

a b c (Å): 4.320 4.320 4.226
angles (deg): 75.40 75.40 52.65
Atoms (fractional coordinates):
1 Be 0.280 0.280 0.120
2 Sb 0.495 0.495 0.495
3 Cu 0.992 0.992 0.056
4 Cu 0.733 0.733 0.829

Output
density	7.12	g/cm³
final energy	-15.2	eV for the cell shown
energy above the most stable polymorph in this dataset	0	meV/atom
DOS(E_F)	1.027	states/eV/f.u.
ΔE_f (raw)	0.198	eV per atom

***

Entry 17:
Density functional theory data (PBE) for a geometry-optimized BeCuSb structure.

a b c (Å): 3.615 8.117 4.260
angles (deg): 80.92 115.15 77.85
Atoms (fractional coordinates):
1 Cu 0.271 0.676 0.547
2 Cu 0.048 0.569 0.999
3 Be 0.816 0.489 0.461
4 Be 0.603 0.390 0.941
5 Sb 0.422 0.242 0.442
6 Sb 0.457 0.834 0.068

Output
density	6.08	g/cm³
final energy	-23.3	eV for the cell shown
DOS(E_F)	0.515	states/eV/f.u.
ΔE_f (raw)	0.093	eV per atom

***

Entry 18:
Density functional theory data (PBE) for a geometry-optimized Be2CuSb structure.

a b c (Å): 4.029 4.029 3.592
angles (deg): 90.00 90.00 103.76
Atoms (fractional coordinates):
1 Be 0.000 0.000 0.000
2 Be 0.500 0.500 0.000
3 Cu 0.500 0.000 0.500
4 Sb 0.000 0.500 0.500

Output
density	5.96	g/cm³
final energy	-13.9	eV for the cell shown
DOS(E_F)	0.878	states/eV/f.u.
ΔE_f (raw)	0.443	eV per atom

***

Entry 19:
Density functional theory data (PBE) for a geometry-optimized Be2CuSb structure.

a b c (Å): 4.363 4.363 4.363
angles (deg): 60.00 60.00 60.00
Atoms (fractional coordinates):
1 Be 0.000 0.000 0.000
2 Be 0.250 0.250 0.250
3 Cu 0.500 0.500 0.500
4 Sb 0.750 0.750 0.750

Output
density	5.75	g/cm³
final energy	-13.1	eV for the cell shown
DOS(E_F)	1.562	states/eV/f.u.
ΔE_f (raw)	0.649	eV per atom

***

Entry 20:
Density functional theory data (PBE) for a geometry-optimized BeCuSb2 structure.

a b c (Å): 4.845 4.845 4.845
angles (deg): 60.00 60.00 60.00
Atoms (fractional coordinates):
1 Sb 0.000 0.000 0.000
2 Sb 0.250 0.250 0.250
3 Cu 0.750 0.750 0.750
4 Be 0.500 0.500 0.500

Output
density	6.52	g/cm³
final energy	-13.2	eV for the cell shown
DOS(E_F)	1.936	states/eV/f.u.
ΔE_f (raw)	0.706	eV per atom